La2ThSc: optimized geometry, GGA-PBE. Values from VASP.

Output
For the polymorph energy (0 for the lowest one), the calculation gives 144 meV per atom. The density of states at the Fermi level is 2.724 states/eV/atom. For the final energy, the calculation gives -5.68 eV/atom. As for the formation energy: 218 meV per atom.

Cell and atoms, written as Quantum ESPRESSO input:
```
&SYSTEM
  ibrav = 0, nat = 4, ntyp = 3
/
ATOMIC_SPECIES
La 138.91 La.upf
Th 232.04 Th.upf
Sc 44.96 Sc.upf
CELL_PARAMETERS angstrom
0.000 4.028 4.028
4.028 0.000 4.028
4.028 4.028 0.000
ATOMIC_POSITIONS crystal
La 0.250 0.250 0.250
La 0.750 0.750 0.750
Th 0.000 0.000 0.000
Sc 0.500 0.500 0.500
```